i:
# PBE-GGA HoTlO2, relaxed
data_HoTlO2
_chemical_formula_sum 'Ho3 Tl3 O6'
_symmetry_space_group_name_H-M 'R -3 m'
_symmetry_Int_Tables_number 166
_symmetry_space_group_name_Hall '-R 3 2"'
_cell_length_a 3.4864
_cell_length_b 3.4864
_cell_length_c 19.5362
_cell_angle_alpha 90.00
_cell_angle_beta 90.00
_cell_angle_gamma 120.00
loop_
_atom_site_label
_atom_site_fract_x
_atom_site_fract_y
_atom_site_fract_z
Ho1 0.0000 0.0000 0.0000
Tl1 0.0000 0.0000 0.5000
O1 0.0000 0.0000 0.2764
# Size of the total moment = 0.000 μB/atom

***

ii:
# PBE-GGA HoTlO2, relaxed
data_HoTlO2
_chemical_formula_sum 'Ho1 Tl1 O2'
_symmetry_space_group_name_H-M 'P 4/m m m'
_symmetry_Int_Tables_number 123
_symmetry_space_group_name_Hall '-P 4 2'
_cell_length_a 3.031
_cell_length_b 3.031
_cell_length_c 6.774
_cell_angle_alpha 90.00
_cell_angle_beta 90.00
_cell_angle_gamma 90.00
loop_
_atom_site_label
_atom_site_fract_x
_atom_site_fract_y
_atom_site_fract_z
Ho1 0.000 0.000 0.000
Tl1 0.000 0.000 0.500
O1 0.500 0.500 0.179
# Size of the total moment = 0.000 μB/atom

***

i takes first place; second place is 48.4 kJ/mol of atoms up.

***

i:
# PBE-GGA RbCaTa, relaxed
data_RbCaTa
_chemical_formula_sum 'Rb2 Ca2 Ta2'
_symmetry_space_group_name_H-M 'P -1'
_symmetry_Int_Tables_number 2
_symmetry_space_group_name_Hall '-P 1'
_cell_length_a 3.696
_cell_length_b 3.696
_cell_length_c 17.116
_cell_angle_alpha 90.09
_cell_angle_beta 90.32
_cell_angle_gamma 90.00
loop_
_atom_site_label
_atom_site_fract_x
_atom_site_fract_y
_atom_site_fract_z
Rb1 0.240 0.247 0.128
Ca1 0.254 0.251 0.655
Ta1 0.249 0.250 0.470
# Size of the total moment = 0.000 μB/atom

***

ii:
# PBE-GGA RbCaTa, relaxed
data_RbCaTa
_chemical_formula_sum 'Rb2 Ca2 Ta2'
_symmetry_space_group_name_H-M 'P 63/m m c'
_symmetry_Int_Tables_number 194
_symmetry_space_group_name_Hall '-P 6c 2c'
_cell_length_a 6.7945
_cell_length_b 6.7945
_cell_length_c 12.0581
_cell_angle_alpha 90.00
_cell_angle_beta 90.00
_cell_angle_gamma 120.00
loop_
_atom_site_label
_atom_site_fract_x
_atom_site_fract_y
_atom_site_fract_z
Rb1 0.3333 0.6667 0.2500
Ca1 0.0000 0.0000 0.2500
Ta1 0.0000 0.0000 0.0000
# Size of the total moment = 1.800 μB/atom

***

i takes first place; second place is 194.7 kJ/mol of atoms up.

***

i:
# PBE-GGA InCo3As, relaxed
data_InCo3As
_chemical_formula_sum 'In1 Co3 As1'
_symmetry_space_group_name_H-M 'P m -3 m'
_symmetry_Int_Tables_number 221
_symmetry_space_group_name_Hall '-P 4 2 3'
_cell_length_a 4.669
_cell_length_b 4.669
_cell_length_c 4.669
_cell_angle_alpha 90.00
_cell_angle_beta 90.00
_cell_angle_gamma 90.00
loop_
_atom_site_label
_atom_site_fract_x
_atom_site_fract_y
_atom_site_fract_z
In1 0.000 0.000 0.000
Co1 0.000 0.000 0.500
As1 0.500 0.500 0.500
# Size of the total moment = 0.926 μB/atom

***

ii:
# PBE-GGA InCo3As, relaxed
data_InCo3As
_chemical_formula_sum 'In1 Co3 As1'
_symmetry_space_group_name_H-M 'P m -3 m'
_symmetry_Int_Tables_number 221
_symmetry_space_group_name_Hall '-P 4 2 3'
_cell_length_a 4.331
_cell_length_b 4.331
_cell_length_c 4.331
_cell_angle_alpha 90.00
_cell_angle_beta 90.00
_cell_angle_gamma 90.00
loop_
_atom_site_label
_atom_site_fract_x
_atom_site_fract_y
_atom_site_fract_z
In1 0.000 0.000 0.000
Co1 0.000 0.500 0.500
As1 0.500 0.500 0.500
# Size of the total moment = 0.576 μB/atom

***

ii takes first place; second place is 108.3 kJ/mol of atoms up.

***

i:
# PBE-GGA BeZnTe2, relaxed
data_BeZnTe2
_chemical_formula_sum 'Be4 Zn4 Te8'
_symmetry_space_group_name_H-M 'I 41/a m d'
_symmetry_Int_Tables_number 141
_cell_length_a 5.596
_cell_length_b 5.596
_cell_length_c 11.159
_cell_angle_alpha 90.00
_cell_angle_beta 90.00
_cell_angle_gamma 90.00
loop_
_symmetry_equiv_pos_as_xyz
'x,y,z'
'-x,-y,-z'
'-y+1/4,x+3/4,z+1/4'
'y+1/4,-x+3/4,-z+1/4'
'-x+1/2,-y,z+1/2'
'x+1/2,y,-z+1/2'
'y+1/4,-x+1/4,z+3/4'
'-y+1/4,x+1/4,-z+3/4'
'x,-y,-z'
'-x,y,z'
'-y+1/4,-x+1/4,-z+3/4'
'y+1/4,x+1/4,z+3/4'
'-x+1/2,y,-z+1/2'
'x+1/2,-y,z+1/2'
'y+1/4,x+3/4,-z+1/4'
'-y+1/4,-x+3/4,z+1/4'
'x+1/2,y+1/2,z+1/2'
'-x+1/2,-y+1/2,-z+1/2'
'-y+3/4,x+1/4,z+3/4'
'y+3/4,-x+1/4,-z+3/4'
'-x,-y+1/2,z'
'x,y+1/2,-z'
'y+3/4,-x+3/4,z+1/4'
'-y+3/4,x+3/4,-z+1/4'
'x+1/2,-y+1/2,-z+1/2'
'-x+1/2,y+1/2,z+1/2'
'-y+3/4,-x+3/4,-z+1/4'
'y+3/4,x+3/4,z+1/4'
'-x,y+1/2,-z'
'x,-y+1/2,z'
'y+3/4,x+1/4,-z+3/4'
'-y+3/4,-x+1/4,z+3/4'
loop_
_atom_site_label
_atom_site_fract_x
_atom_site_fract_y
_atom_site_fract_z
Be1 0.000 0.250 0.375
Zn1 0.000 0.250 0.875
Te1 0.000 0.250 0.144
# Size of the total moment = 0.000 μB/atom

***

ii:
# PBE-GGA BeZnTe2, relaxed
data_BeZnTe2
_chemical_formula_sum 'Be4 Zn4 Te8'
_symmetry_space_group_name_H-M 'P n m a'
_symmetry_Int_Tables_number 62
_symmetry_space_group_name_Hall '-P 2ac 2n'
_cell_length_a 6.867
_cell_length_b 4.109
_cell_length_c 17.085
_cell_angle_alpha 90.00
_cell_angle_beta 90.00
_cell_angle_gamma 90.00
loop_
_atom_site_label
_atom_site_fract_x
_atom_site_fract_y
_atom_site_fract_z
Be1 0.035 0.250 0.141
Zn1 0.100 0.750 0.329
Te1 0.201 0.750 0.175
Te2 0.221 0.250 0.411
# Size of the total moment = 0.000 μB/atom

***

ii takes first place; second place is 25.7 kJ/mol of atoms up.